# In2MoPt, optimized geometry, DFT PBE-GGA
data_In2MoPt
_cell_length_a 6.626
_cell_length_b 6.626
_cell_length_c 6.626
_cell_angle_alpha 90.00
_cell_angle_beta 90.00
_cell_angle_gamma 90.00
_symmetry_space_group_name_H-M 'P 1'
_symmetry_Int_Tables_number 1
loop_
_symmetry_equiv_pos_as_xyz
'x,y,z'
loop_
_atom_site_label
_atom_site_type_symbol
_atom_site_fract_x
_atom_site_fract_y
_atom_site_fract_z
_atom_site_occupancy
In1 In 0.250 0.250 0.250 1
In2 In 0.250 0.250 0.750 1
In3 In 0.250 0.750 0.250 1
In4 In 0.250 0.750 0.750 1
In5 In 0.750 0.250 0.250 1
In6 In 0.750 0.250 0.750 1
In7 In 0.750 0.750 0.250 1
In8 In 0.750 0.750 0.750 1
Mo1 Mo 0.000 0.000 0.000 1
Mo2 Mo 0.000 0.500 0.500 1
Mo3 Mo 0.500 0.000 0.500 1
Mo4 Mo 0.500 0.500 0.000 1
Pt1 Pt 0.000 0.000 0.500 1
Pt2 Pt 0.000 0.500 0.000 1
Pt3 Pt 0.500 0.000 0.000 1
Pt4 Pt 0.500 0.500 0.500 1
# - Total moment: 0.232 μB/atom
# - Total DFT energy (no corrections): -5.438 eV per atom
# - Formation energy: 0.149 eV/atom